No. 1
PBE RbGe2As2, relaxed; formation energy from the elements = -0.112 eV per atom; symmetry = No. 2; magnetic moment = 0.00 μB per formula unit
1.0
6.708 0.000 0.000
1.270 6.712 0.000
2.884 2.650 6.726
Rb Ge As
2 4 4
direct
0.241 0.301 0.370 Rb
0.759 0.699 0.630 Rb
0.031 0.738 0.966 Ge
0.447 0.122 0.798 Ge
0.553 0.878 0.202 Ge
0.969 0.262 0.034 Ge
0.193 0.895 0.137 As
0.261 0.499 0.758 As
0.739 0.501 0.242 As
0.807 0.105 0.863 As

No. 2
PBE RbGeAs, relaxed; formation energy from the elements = -0.158 eV per atom; symmetry = No. 6; magnetic moment = 0.00 μB per formula unit
1.0
4.014 0.000 0.000
0.000 5.418 0.000
-1.901 0.000 4.496
Rb Ge As
1 1 1
direct
0.000 0.000 0.000 Rb
0.325 0.500 0.656 Ge
0.662 0.500 0.316 As

No. 3
PBE Rb3GeAs, relaxed; formation energy from the elements = 0.276 eV per atom; symmetry = No. 221; magnetic moment = 3.96 μB per formula unit
1.0
6.653 0.000 0.000
0.000 6.653 0.000
0.000 0.000 6.653
Rb Ge As
3 1 1
direct
0.000 0.000 0.500 Rb
0.000 0.500 0.000 Rb
0.500 0.000 0.000 Rb
0.500 0.500 0.500 Ge
0.000 0.000 0.000 As

No. 4
PBE RbGeAs, relaxed; formation energy from the elements = -0.263 eV per atom; symmetry = No. 2; magnetic moment = 0.00 μB per formula unit
1.0
4.419 0.000 0.000
2.196 6.500 0.000
0.111 2.511 7.227
Rb Ge As
2 2 2
direct
0.095 0.298 0.277 Rb
0.905 0.702 0.723 Rb
0.345 0.805 0.074 Ge
0.655 0.195 0.926 Ge
0.196 0.120 0.770 As
0.804 0.880 0.230 As

No. 5
PBE RbGe2As, relaxed; formation energy from the elements = 0.071 eV per atom; symmetry = No. 141; magnetic moment = 0.00 μB per formula unit
1.0
-2.594 2.594 9.377
2.594 -2.594 9.377
2.594 2.594 -9.377
Rb Ge As
2 4 2
direct
0.375 0.625 0.750 Rb
0.625 0.375 0.250 Rb
0.000 0.000 0.000 Ge
0.000 0.000 0.500 Ge
0.000 0.500 0.000 Ge
0.500 0.000 0.500 Ge
0.125 0.875 0.250 As
0.875 0.125 0.750 As

No. 6
PBE RbGeAs, relaxed; formation energy from the elements = -0.166 eV per atom; symmetry = No. 8; magnetic moment = 0.00 μB per formula unit
1.0
6.750 -1.877 0.000
6.750 1.877 0.000
-2.098 0.000 4.928
Rb Ge As
1 1 1
direct
0.000 0.000 0.000 Rb
0.754 0.754 0.256 Ge
0.380 0.380 0.382 As

No. 7
PBE RbGeAs, relaxed; formation energy from the elements = -0.273 eV per atom; symmetry = No. 160; magnetic moment = 0.00 μB per formula unit
1.0
1.986 1.147 6.616
-1.986 1.147 6.616
0.000 -2.294 6.616
Rb Ge As
1 1 1
direct
0.000 0.000 0.000 Rb
0.196 0.196 0.196 Ge
0.468 0.468 0.468 As

No. 8
PBE RbGeAs, relaxed; formation energy from the elements = -0.134 eV per atom; symmetry = No. 65; magnetic moment = 0.00 μB per formula unit
1.0
2.661 -7.015 0.000
2.661 7.015 0.000
0.000 0.000 5.486
Rb Ge As
2 2 2
direct
0.154 0.846 0.000 Rb
0.846 0.154 0.000 Rb
0.223 0.223 0.500 Ge
0.777 0.777 0.500 Ge
0.358 0.642 0.500 As
0.642 0.358 0.500 As

No. 9
PBE Rb2GeAsS4, relaxed; symmetry = No. 82; ΔE_f (raw) = -4.30 eV per formula unit; magnetic moment = 0.00 μB per formula unit
1.0
-3.631 3.631 4.935
3.631 -3.631 4.935
3.631 3.631 -4.935
Rb Ge As S
2 1 1 4
direct
0.000 0.000 0.000 Rb
0.750 0.250 0.500 Rb
0.250 0.750 0.500 Ge
0.500 0.500 0.000 As
0.233 0.628 0.115 S
0.372 0.487 0.605 S
0.513 0.118 0.885 S
0.882 0.767 0.395 S

No. 10
PBE RbGe2AsS, relaxed; symmetry = No. 123; ΔE_f (raw) = 1.39 eV per formula unit; magnetic moment = 0.00 μB per formula unit
1.0
5.158 0.000 0.000
0.000 5.158 0.000
0.000 0.000 5.321
Rb Ge As S
1 2 1 1
direct
0.000 0.000 0.000 Rb
0.000 0.500 0.500 Ge
0.500 0.000 0.500 Ge
0.500 0.500 0.500 As
0.500 0.500 0.000 S